1.
## SrHfC2 (SCAN)

Data for SrHfC2 at its PBEsol-relaxed geometry.

a b c (Å): 5.4300 5.4300 6.7058
angles (deg): 113.88 113.88 90.00
Sites, in units of the cell vectors:
C: 0.6250 0.7100 0.7500
C: 0.9600 0.3750 0.2500
C: 0.2900 0.8750 0.2500
C: 0.1250 0.0400 0.7500
Sr: 0.5000 0.5000 0.0000
Sr: 0.7500 0.2500 0.5000
Hf: 0.0000 0.0000 0.0000
Hf: 0.2500 0.7500 0.5000

Calculated formation energy = 0.463 eV/atom
E = -25.824 eV/atom

***

2.
## HfTaC2 (SCAN)

Data for HfTaC2 at its PBEsol-relaxed geometry.

a b c (Å): 5.5493 5.5493 5.5493
angles (deg): 33.38 33.38 33.38
Sites, in units of the cell vectors:
Ta: 0.5000 0.5000 0.5000
Hf: 0.0000 0.0000 0.0000
C: 0.7529 0.7529 0.7529
C: 0.2471 0.2471 0.2471

Calculated formation energy = -0.876 eV/atom
E = -38.240 eV/atom

***

3.
## Hf2TiC (SCAN)

Data for Hf2TiC at its PBEsol-relaxed geometry.

a b c (Å): 4.1579 6.0939 6.0939
angles (deg): 83.32 70.05 70.05
Sites, in units of the cell vectors:
Ti: 0.0000 0.0000 0.0000
Ti: 0.7500 0.5000 0.5000
Hf: 0.4858 0.6392 0.1392
Hf: 0.8750 0.8608 0.6392
Hf: 0.3750 0.1392 0.3608
Hf: 0.2642 0.3608 0.8608
C: 0.2500 0.5000 0.5000
C: 0.5000 0.0000 0.0000

Calculated formation energy = -0.047 eV/atom
E = -37.916 eV/atom

***

4.
## Hf2Tl2C (SCAN)

Data for Hf2Tl2C at its PBEsol-relaxed geometry.

a b c (Å): 3.7134 3.7134 8.0463
angles (deg): 103.34 103.34 90.00
Sites, in units of the cell vectors:
Hf: 0.5859 0.5859 0.1719
Hf: 0.4141 0.4141 0.8281
Tl: 0.7500 0.2500 0.5000
Tl: 0.2500 0.7500 0.5000
C: 0.0000 0.0000 0.0000

Calculated formation energy = 1.370 eV/atom
E = -54.662 eV/atom

***

5.
## Hf2TlC (SCAN)

Data for Hf2TlC at its PBEsol-relaxed geometry.

a b c (Å): 3.3054 3.3054 14.6665
angles (deg): 90.00 90.00 120.00
Sites, in units of the cell vectors:
C: 0.0000 0.0000 0.5000
C: 0.0000 0.0000 0.0000
Hf: 0.3333 0.6667 0.4181
Hf: 0.6667 0.3333 0.5819
Hf: 0.6667 0.3333 0.9181
Hf: 0.3333 0.6667 0.0819
Tl: 0.3333 0.6667 0.7500
Tl: 0.6667 0.3333 0.2500

Calculated formation energy = -0.749 eV/atom
E = -52.700 eV/atom

***

6.
## HfZnC2 (SCAN)

Data for HfZnC2 at its PBEsol-relaxed geometry.

a b c (Å): 4.3449 4.3449 6.4756
angles (deg): 109.60 109.60 90.00
Sites, in units of the cell vectors:
C: 0.6250 0.5976 0.7500
C: 0.8476 0.3750 0.2500
C: 0.1250 0.1524 0.7500
C: 0.4024 0.8750 0.2500
Hf: 0.0000 0.0000 0.0000
Hf: 0.2500 0.7500 0.5000
Zn: 0.5000 0.5000 0.0000
Zn: 0.7500 0.2500 0.5000

Calculated formation energy = 0.737 eV/atom
E = -23.360 eV/atom

***

7.
## Hf2ZnC (SCAN)

Data for Hf2ZnC at its PBEsol-relaxed geometry.

a b c (Å): 4.3705 4.3705 4.3705
angles (deg): 60.00 60.00 60.00
Sites, in units of the cell vectors:
C: 0.0000 0.0000 0.0000
Zn: 0.5000 0.5000 0.5000
Hf: 0.7500 0.7500 0.7500
Hf: 0.2500 0.2500 0.2500

Calculated formation energy = 0.534 eV/atom
E = -36.706 eV/atom

***

8.
## Hf2ZnC2 (SCAN)

Data for Hf2ZnC2 at its PBEsol-relaxed geometry.

a b c (Å): 4.1604 4.1604 5.4078
angles (deg): 112.62 112.62 90.00
Sites, in units of the cell vectors:
Hf: 0.3161 0.3161 0.6322
Hf: 0.6839 0.6839 0.3678
C: 0.2500 0.7500 0.5000
C: 0.7500 0.2500 0.5000
Zn: 0.0000 0.0000 0.0000

Calculated formation energy = 0.064 eV/atom
E = -31.748 eV/atom